1.
## CsPmPb (PBE)

Data for a relaxed CsPmPb crystal.

Computed properties:
energy of formation from the pure elements: -79 kJ/mol of formula units
final energy: -20.3 eV per cell

The structure in POSCAR format:
```
CsPmPb
1.0
-2.344 2.204 3.048
1.885 -2.420 3.199
11.184 10.165 -1.972
Cs Pb Pm
2 2 2
Cartesian
1.659 1.626 3.322
9.067 8.324 0.953
6.817 6.361 3.864
3.908 3.588 0.411
4.407 4.148 3.611
6.319 5.801 0.664
```



2.
## CsPmPb2 (PBE)

Data for a relaxed CsPmPb2 crystal.

Computed properties:
excess energy over the best structure of this formula in the dataset: 0.2029 eV/atom
energy of formation from the pure elements: -50 kJ/mol of formula units
final energy: -13.5 eV per cell

The structure in POSCAR format:
```
CsPmPb2
1.0
-2.052 2.688 -1.909
0.505 0.477 -3.821
-8.760 -6.700 -3.966
Pb Pm Cs
2 1 1
Cartesian
-7.964 -2.870 -7.330
-2.344 -0.665 -2.366
0.000 0.000 0.000
-5.154 -1.767 -4.848
```



3.
## CsPmPbS3 (PBE)

Data for a relaxed CsPmPbS3 crystal.

Computed properties:
final energy: -58.6 eV per cell

The structure in POSCAR format:
```
CsPmPbS3
1.0
-1.674 -0.159 -3.812
8.948 0.175 -1.660
0.298 -11.819 0.362
Pb S Pm Cs
2 6 2 2
Cartesian
0.902 -3.015 -2.547
6.670 -8.788 -2.563
6.690 -11.646 -2.453
1.026 -5.871 -2.483
0.230 -8.864 0.268
6.546 -5.932 -2.628
7.342 -2.939 -5.379
0.882 -0.157 -2.658
0.000 0.000 0.000
0.149 -5.910 0.181
2.275 -8.910 -2.905
5.297 -2.893 -2.206
```